a:
This record from Alexandria via LeMat-Bulk describes a geometry-optimized Pr5Sm3Ho3 structure. The functional is GGA-PBE.

POSCAR file:
```
Pr5Sm3Ho3
1.0
-4.5134 -0.8410 -3.0364
-4.9824 -2.5442 8.1106
0.2026 9.4118 -2.9080
Sm Pr Ho
3 5 3
Cartesian
-2.8344 -1.4473 4.6140
-2.0607 2.9608 2.2429
0.1152 5.3542 -1.6543
-2.1080 6.4884 -3.6528
-3.5278 1.4058 -0.1347
-3.7824 5.0060 -0.7533
-5.9141 -2.2881 4.4355
-5.5108 1.0206 2.9195
-5.2860 3.9319 1.7790
-2.1825 3.0265 -2.5832
-4.0815 -1.3523 1.4522
```

As for the total magnetic moment: 0.39 μB/f.u. The density comes out at 5.92 Mg/m³. As for the symmetry: P-62m.

b:
This record from Alexandria via LeMat-Bulk describes a geometry-optimized Pr5Sm3Ho3 structure. The functional is GGA-PBE.

POSCAR file:
```
Pr5Sm3Ho3
1.0
-0.6685 3.2817 -0.9231
-10.6227 -1.0276 4.0398
8.3799 3.6315 6.8417
Pr Ho Sm
5 3 3
Cartesian
-4.6228 2.1663 4.5123
2.4945 2.8667 1.8480
-1.8200 3.3657 6.7467
1.7114 3.7193 5.4462
-3.9202 1.2939 0.9022
6.7144 4.6955 5.2933
-0.6905 2.0545 1.2670
-9.2695 0.7765 2.9366
-6.3470 -0.6140 2.4138
5.0069 2.1698 4.0879
-0.9028 1.0481 4.3799
```

As for the total magnetic moment: 0.00 μB/f.u. The density comes out at 7.00 Mg/m³. As for the symmetry: P-62m.

Least stable: a

a:
This record from Alexandria via LeMat-Bulk describes a geometry-optimized PrSm5Ho3 structure. The functional is GGA-PBE.

POSCAR file:
```
PrSm5Ho3
1.0
-7.4433 4.2052 -3.9742
-6.1134 -3.5165 -6.2564
-12.4863 -2.6330 1.6322
Ho Sm Pr
6 10 2
Cartesian
0.0000 0.0000 0.0000
-15.5426 -0.3237 -7.9625
-18.0443 -1.3167 -6.0607
-10.5004 -1.6206 -0.6360
-7.9987 -0.6277 -2.5377
-6.2431 -1.3165 0.8161
-13.3106 -3.4192 -2.1277
-13.8520 -0.2761 -1.1987
-7.0189 1.7410 -4.7025
-11.3251 -0.8219 -3.8191
-12.1910 -1.6682 -7.3997
-16.6676 -2.2080 -2.2425
-14.7179 -1.1224 -4.7794
-12.7324 1.4749 -6.4708
-6.5378 -1.0523 -5.5281
-9.3754 0.2637 -6.3559
-3.0791 -0.2816 -0.8415
-22.9639 -1.6627 -7.7570
```

As for the total magnetic moment: 0.00 μB/f.u. The density comes out at 7.13 Mg/m³. As for the symmetry: C2/m.

b:
This record from Alexandria via LeMat-Bulk describes a geometry-optimized PrSm5Ho3 structure. The functional is GGA-PBE.

POSCAR file:
```
PrSm5Ho3
1.0
-2.7690 2.3744 5.6980
-7.4086 3.4317 -9.0469
2.5784 -9.9160 5.3852
Ho Sm Pr
6 10 2
Cartesian
-3.7555 -2.8845 2.5714
-1.9877 -6.6694 0.9911
1.2892 -4.9580 2.6926
-5.6115 2.5595 1.0452
-3.8438 -1.2253 -0.5351
0.0000 0.0000 0.0000
-1.4973 -3.5303 -0.0209
1.0645 -6.6916 5.8277
-1.2551 -0.8500 5.2555
-4.6964 -4.6343 -0.3812
-6.8642 3.9266 -1.7198
-1.5929 -4.4514 5.0673
-6.0064 0.3415 -3.0310
-2.9029 0.5245 2.4175
-0.7351 -8.0365 3.7561
-6.1019 -0.5795 2.0571
-0.0185 -1.9104 2.7108
-0.1721 -5.6312 8.3723
```

As for the total magnetic moment: 0.00 μB/f.u. The density comes out at 7.62 Mg/m³. As for the symmetry: C2/c.

Least stable: a

a:
This record from Alexandria via LeMat-Bulk describes a geometry-optimized Pr2Sm7Ho structure. The functional is GGA-PBE.

POSCAR file:
```
Pr2Sm7Ho
1.0
-2.3803 0.2680 -2.5507
9.8661 -5.7486 -9.8110
-11.0333 -0.8342 10.2085
Sm Pr Ho
7 2 1
Cartesian
-4.1131 -4.3610 0.9801
-1.7737 -3.1575 -1.0766
5.9561 -4.8292 -6.0656
-3.5161 -0.9941 0.7768
0.5657 -1.9539 -3.1332
-0.0313 -5.3208 -2.9299
-7.1233 -1.7537 6.4632
-6.0520 -2.1514 3.0216
2.5046 -4.1635 -5.1747
0.0000 0.0000 0.0000
```

As for the total magnetic moment: 0.00 μB/f.u. The density comes out at 7.24 Mg/m³. As for the symmetry: Cmmm.

b:
This record from Alexandria via LeMat-Bulk describes a geometry-optimized Pr2Sm7Ho structure. The functional is GGA-PBE.

POSCAR file:
```
Pr2Sm7Ho
1.0
-2.2049 2.8885 5.1401
-6.1604 5.2826 -0.4634
-1.1869 -8.5545 4.2781
Sm Pr Ho
7 2 1
Cartesian
-1.3045 -2.5963 2.1764
-6.8153 -1.1387 6.6925
-2.6240 -5.2298 4.3527
-2.7369 0.7553 2.2623
-6.9282 4.8464 4.6021
-8.2477 2.2128 6.7784
-4.1826 4.0855 2.3384
-4.0630 -1.8767 4.4299
-5.4892 1.4933 4.5250
0.0000 0.0000 0.0000
```

As for the total magnetic moment: 0.00 μB/f.u. The density comes out at 7.33 Mg/m³. As for the symmetry: P-1.

Least stable: a

a:
This record from Alexandria via LeMat-Bulk describes a geometry-optimized Pr2SmHo3 structure. The functional is GGA-PBE.

POSCAR file:
```
Pr2SmHo3
1.0
-1.5434 1.1314 5.2523
7.8917 -4.2519 0.2601
-0.8058 9.9042 -2.3702
Sm Pr Ho
2 4 6
Cartesian
3.7366 6.3493 2.7051
1.8060 0.4343 0.4371
-1.2755 9.0009 0.6611
2.5120 6.9321 -0.7551
3.0306 -0.1485 3.8973
6.8180 -2.2173 2.4811
3.7344 3.5443 0.3339
1.8081 3.2393 2.8083
5.2556 0.5758 1.4203
5.1315 3.2030 3.7927
0.4111 3.5806 -0.6505
0.2869 6.2078 1.7219
```

As for the total magnetic moment: 0.00 μB/f.u. The density comes out at 7.66 Mg/m³. As for the symmetry: C2/m.

b:
This record from Alexandria via LeMat-Bulk describes a geometry-optimized Pr2SmHo3 structure. The functional is GGA-PBE.

POSCAR file:
```
Pr2SmHo3
1.0
3.5107 0.0000 0.7230
0.3787 9.6715 7.0460
-1.4715 6.2248 16.0299
Sm Pr Ho
2 4 6
Cartesian
1.8235 7.4944 8.9152
0.5943 8.4019 14.8837
0.4957 5.3063 6.4780
1.2493 9.6574 11.7034
1.9222 10.5899 17.3209
1.1685 6.2388 12.0955
3.2221 1.0059 2.1241
1.0506 3.2754 3.7835
-0.1489 4.0147 9.6077
2.5667 11.8816 14.1912
1.3673 12.6208 20.0154
-0.8043 14.8903 21.6748
```

As for the total magnetic moment: 0.00 μB/f.u. The density comes out at 7.65 Mg/m³. As for the symmetry: C2/m.

Least stable: a

a:
This record from Alexandria via LeMat-Bulk describes a geometry-optimized Pr3Sm7Ho2 structure. The functional is GGA-PBE.

POSCAR file:
```
Pr3Sm7Ho2
1.0
6.4527 0.0000 1.4189
3.0703 5.6754 1.4189
0.7434 0.4430 12.0015
Pr Sm Ho
3 7 2
Cartesian
8.3989 5.0055 7.9499
1.8675 1.1129 6.8893
0.0000 0.0000 0.0000
4.5786 0.7918 9.9415
5.6877 5.3267 4.8976
5.1332 3.0592 7.4196
7.3914 2.4680 4.8976
6.1251 3.6504 10.6562
4.1413 2.4680 4.1830
2.8750 3.6504 9.9415
3.9198 2.3360 12.9381
6.3466 3.7824 1.9011
```

As for the total magnetic moment: 0.00 μB/f.u. The density comes out at 6.95 Mg/m³. As for the symmetry: R-3m.

b:
This record from Alexandria via LeMat-Bulk describes a geometry-optimized Pr3Sm7Ho2 structure. The functional is GGA-PBE.

POSCAR file:
```
Pr3Sm7Ho2
1.0
-1.0904 1.4034 -3.1557
-1.8279 -5.3715 -1.7573
-16.9393 4.3426 7.7844
Sm Ho Pr
7 2 3
Cartesian
-15.9272 -0.0779 3.3905
-3.7199 -3.0724 -0.0810
-10.0971 1.6514 2.1450
-15.0473 2.0435 6.1082
-9.7605 -1.2769 0.7264
0.0000 0.0000 0.0000
-3.9304 0.4525 -0.5190
-13.0232 2.2200 3.4090
-6.8344 -1.8455 -0.5375
-1.4591 -1.9841 -2.4565
-12.1636 -1.4297 3.5672
-6.6036 0.4008 2.4600
```

As for the total magnetic moment: 0.00 μB/f.u. The density comes out at 7.29 Mg/m³. As for the symmetry: P2/m.

Least stable: a

a:
This record from Alexandria via LeMat-Bulk describes a geometry-optimized PrSm4Ho3 structure. The functional is GGA-PBE.

POSCAR file:
```
PrSm4Ho3
1.0
6.3251 0.0000 0.0000
0.0000 7.3269 0.0000
0.0000 0.0000 11.5339
Pr Sm Ho
2 8 6
Cartesian
0.9308 2.7461 0.0000
4.0933 4.5808 5.7669
3.0452 6.4083 2.8468
6.2077 0.9186 8.6137
0.9174 6.3924 0.0000
4.0800 0.9345 5.7669
4.1165 0.9268 0.0000
6.2077 0.9186 2.9202
3.0452 6.4083 8.6871
0.9540 6.4002 5.7669
6.2040 4.5675 2.8862
3.0415 2.7594 2.8808
6.2040 4.5675 8.6477
4.0961 4.5658 0.0000
0.9336 2.7611 5.7669
3.0415 2.7594 8.6531
```

As for the total magnetic moment: 0.00 μB/f.u. The density comes out at 7.69 Mg/m³. As for the symmetry: Pmn2_1.

b:
This record from Alexandria via LeMat-Bulk describes a geometry-optimized PrSm4Ho3 structure. The functional is GGA-PBE.

POSCAR file:
```
PrSm4Ho3
1.0
5.6286 0.0000 -1.1219
-0.0677 3.5846 -0.3398
-0.2720 1.2858 13.3153
Sm Ho Pr
4 3 1
Cartesian
3.9224 2.3727 4.9985
1.9718 2.8105 9.8924
3.3170 2.0600 1.9612
1.3664 2.4977 6.8551
4.5789 0.8935 8.2921
-0.0339 1.7923 -0.1699
0.7099 3.9770 3.5615
2.8143 0.0000 -0.5610
```

As for the total magnetic moment: 0.00 μB/f.u. The density comes out at 7.61 Mg/m³. As for the symmetry: C2/m.

Least stable: b

a:
This record from Alexandria via LeMat-Bulk describes a geometry-optimized Pr2SmHo8 structure. The functional is GGA-PBE.

POSCAR file:
```
Pr2SmHo8
1.0
-3.2133 -4.3539 1.3558
2.8747 1.4350 9.5680
-2.8612 5.2259 8.1470
Pr Sm Ho
2 1 8
Cartesian
-2.4000 -1.3626 6.0526
-0.7998 3.6697 13.0181
0.0000 0.0000 0.0000
-1.0051 0.1164 12.4760
-2.1947 2.1907 6.5947
-2.4444 -0.2932 9.0847
-0.7459 0.2175 3.5910
0.4870 0.4184 7.2590
-2.4539 2.0896 15.4797
-0.7554 2.6002 9.9860
-3.6868 1.8886 11.8117
```

As for the total magnetic moment: 0.00 μB/f.u. The density comes out at 7.86 Mg/m³. As for the symmetry: C2/m.

b:
This record from Alexandria via LeMat-Bulk describes a geometry-optimized Pr2SmHo8 structure. The functional is GGA-PBE.

POSCAR file:
```
Pr2SmHo8
1.0
-2.7904 5.9566 0.7861
-5.8306 -2.4472 -2.1544
0.6206 -4.4152 7.7465
Pr Ho Sm
2 8 1
Cartesian
-2.1830 -1.4616 3.3263
-5.8174 0.5558 3.0520
-3.0162 1.6328 4.8343
-4.7868 -1.2266 5.6253
-4.5454 3.1636 1.1282
-1.1857 -1.4130 6.4993
-6.8148 0.5072 -0.1211
-3.2137 0.3208 0.7530
-3.4550 -4.0695 5.2501
-4.9842 -2.5387 1.5440
0.0000 0.0000 0.0000
```

As for the total magnetic moment: 0.00 μB/f.u. The density comes out at 8.04 Mg/m³. As for the symmetry: C2/m.

Least stable: b

a:
This record from Alexandria via LeMat-Bulk describes a geometry-optimized Pr2Sm5Ho2 structure. The functional is GGA-PBE.

POSCAR file:
```
Pr2Sm5Ho2
1.0
-0.0629 5.9940 -1.8592
-1.6095 -3.2325 7.2377
6.0484 1.2559 7.3284
Sm Ho Pr
5 2 2
Cartesian
-0.0503 0.0373 3.6140
4.4263 3.9801 9.0928
2.9933 0.6395 5.4704
0.0000 0.0000 0.0000
1.3827 3.3779 7.2364
1.4455 3.3278 3.6122
2.9304 0.6896 9.0946
-0.1004 0.0633 7.2427
4.4764 3.9541 5.4641
```

As for the total magnetic moment: 0.00 μB/f.u. The density comes out at 7.48 Mg/m³. As for the symmetry: P-1.

b:
This record from Alexandria via LeMat-Bulk describes a geometry-optimized Pr2Sm5Ho2 structure. The functional is GGA-PBE.

POSCAR file:
```
Pr2Sm5Ho2
1.0
8.6382 0.0000 0.0000
0.0000 11.0976 0.0000
-4.3191 -5.5488 6.4555
Ho Pr Sm
4 4 10
Cartesian
1.0321 5.3535 1.4349
3.2870 -0.1953 5.0206
1.0321 5.3535 5.0206
3.2870 -0.1953 1.4349
3.3941 7.4396 3.2278
0.0000 0.4071 0.0000
0.9250 1.8908 3.2278
4.3191 5.9559 0.0000
0.5259 8.6962 1.6918
7.0255 3.1567 1.0491
6.4196 0.3108 3.2278
0.5259 -2.4014 4.7637
-2.7063 -2.3920 5.4064
5.9319 8.7055 1.0491
3.7932 3.1474 1.6918
3.7932 3.1474 4.7637
-1.6128 3.1567 5.4064
-2.1005 5.8595 3.2278
```

As for the total magnetic moment: 0.00 μB/f.u. The density comes out at 7.32 Mg/m³. As for the symmetry: Ima2.

Least stable: b

a:
This record from Alexandria via LeMat-Bulk describes a geometry-optimized Pr2Sm4Ho5 structure. The functional is GGA-PBE.

POSCAR file:
```
Pr2Sm4Ho5
1.0
-0.5853 -2.1145 -2.6960
7.7265 -3.9735 1.4389
-6.2877 -6.1351 8.4175
Pr Ho Sm
2 5 4
Cartesian
4.5375 -4.2535 2.3509
-3.6840 -7.9695 4.8095
1.8056 -9.7064 4.9800
-2.4813 -5.5767 2.6717
3.3347 -6.6464 4.4887
-0.2927 -1.0572 -1.3480
-0.9521 -2.5166 2.1805
0.9940 -5.5066 1.8623
-0.1406 -6.7164 5.2982
2.1641 -2.0842 1.1648
-1.3106 -10.1388 5.9956
```

As for the total magnetic moment: 0.00 μB/f.u. The density comes out at 7.74 Mg/m³. As for the symmetry: C2/m.

b:
This record from Alexandria via LeMat-Bulk describes a geometry-optimized Pr2Sm4Ho5 structure. The functional is GGA-PBE.

POSCAR file:
```
Pr2Sm4Ho5
1.0
3.5219 0.0000 0.0000
0.0000 9.1805 0.0000
-1.7609 -4.5902 11.6159
Ho Pr Sm
5 2 4
Cartesian
1.7610 2.8150 8.3147
0.0000 7.4052 3.3012
1.7610 -2.8150 8.3147
0.0000 1.7753 3.3012
1.7609 0.0000 0.0000
0.0000 0.0000 6.2306
1.7609 4.5902 5.3854
0.0000 0.0000 9.3784
0.0000 2.7605 0.0000
0.0000 6.4200 0.0000
1.7609 4.5902 2.2376
```

As for the total magnetic moment: 0.00 μB/f.u. The density comes out at 7.55 Mg/m³. As for the symmetry: Immm.

Least stable: b

a:
This record from Alexandria via LeMat-Bulk describes a geometry-optimized Pr4SmHo7 structure. The functional is GGA-PBE.

POSCAR file:
```
Pr4SmHo7
1.0
-4.5767 3.6766 -0.8525
-1.9882 -0.3734 -11.5766
-6.1514 -2.7891 0.3562
Pr Ho Sm
4 7 1
Cartesian
-3.0394 0.0812 -3.9719
-6.4555 0.8533 -2.9418
-6.2607 -0.3392 -9.1310
-9.6768 0.4329 -8.1010
-4.2018 -0.6509 -0.8889
-7.4007 -0.9796 -5.7726
-9.9587 1.0031 -4.1281
-2.7575 -0.4890 -7.9448
-8.5145 1.1650 -11.1840
-5.3155 1.4937 -6.3003
-2.2884 1.8383 -0.4262
0.0000 0.0000 0.0000
```

As for the total magnetic moment: 0.00 μB/f.u. The density comes out at 7.57 Mg/m³. As for the symmetry: C2/m.

b:
This record from Alexandria via LeMat-Bulk describes a geometry-optimized Pr4SmHo7 structure. The functional is GGA-PBE.

POSCAR file:
```
Pr4SmHo7
1.0
6.0788 -1.3323 2.9425
1.2242 5.9936 2.4995
2.8280 -1.9835 11.4268
Pr Ho Sm
4 7 1
Cartesian
7.2033 2.6926 12.0345
2.9277 -0.0148 4.8343
5.3613 0.1089 10.4641
4.7697 2.5689 6.4046
8.1829 0.1181 14.5036
5.7000 -0.6067 6.9568
2.5575 0.5673 8.3152
1.9480 2.5597 2.3652
4.4309 3.2845 9.9120
7.5735 2.1104 8.5535
3.0394 -0.6661 1.4712
0.0000 0.0000 0.0000
```

As for the total magnetic moment: 0.00 μB/f.u. The density comes out at 7.78 Mg/m³. As for the symmetry: P-1.

Least stable: a